# GGA-PBE La4CdPb, relaxed
data_La4CdPb
_chemical_formula_sum 'La4 Cd1 Pb1'
_cell_length_a 5.471
_cell_length_b 5.471
_cell_length_c 7.566
_cell_angle_alpha 90.00
_cell_angle_beta 90.00
_cell_angle_gamma 90.00
_space_group_name_H-M_alt 'P 4/m m m'
_space_group_IT_number 123
_space_group_name_Hall '-P 4 2'
loop_
_atom_site_label
_atom_site_type_symbol
_atom_site_fract_x
_atom_site_fract_y
_atom_site_fract_z
La1 La 0.000 0.500 0.237
Cd1 Cd 0.000 0.000 0.000
Pb1 Pb 0.500 0.500 0.500
# N(E_F) = 9.2 states/eV/cell
# volume = 37.7 Å³ per atom
# raw total energy = -25.1 eV/cell
# total magnetic moment = 0.00 μB per cell
# calculated formation energy = -0.80 eV/f.u.